[1]
A geometry-optimized Li3NpN3 structure. Source: the Alexandria database, functional PBE.

Computed properties:
The mass density comes out at 6.2 g/cm³. The formation energy without anion corrections comes out at -0.788 eV/atom. The crystal system is trigonal.

```
Li3NpN3
1.0
0.555 3.425 4.862
4.605 -0.812 3.716
4.513 4.275 0.143
Li N Np
6 6 2
direct
0.853 0.617 0.368
0.617 0.162 0.368
0.838 0.147 0.632
0.383 0.838 0.632
0.147 0.383 0.632
0.162 0.853 0.368
0.071 0.691 0.773
0.309 0.535 0.227
0.535 0.929 0.227
0.929 0.309 0.227
0.691 0.465 0.773
0.465 0.071 0.773
0.669 0.669 0.993
0.331 0.331 0.007
```



[2]
A geometry-optimized LiNp3N4 structure. Source: the Alexandria database, functional PBE.

Computed properties:
The mass density comes out at 11.8 g/cm³. The formation energy without anion corrections comes out at -0.964 eV/atom. The crystal system is cubic.

```
LiNp3N4
1.0
4.771 0.000 0.000
0.000 4.771 0.000
0.000 0.000 4.771
N Li Np
4 1 3
direct
0.000 0.000 0.500
0.500 0.000 0.000
0.500 0.500 0.500
0.000 0.500 0.000
0.000 0.000 0.000
0.500 0.000 0.500
0.500 0.500 0.000
0.000 0.500 0.500
```



[3]
A geometry-optimized Li2NpN3 structure. Source: the Alexandria database, functional PBE.

Computed properties:
The mass density comes out at 7.2 g/cm³. The formation energy without anion corrections comes out at -0.787 eV/atom. The crystal system is orthorhombic.

```
Li2NpN3
1.0
3.352 0.000 -0.001
0.000 4.255 0.000
-0.004 0.000 9.519
N Li Np
6 4 2
direct
0.500 0.250 0.500
0.000 0.750 0.000
0.000 0.750 0.635
0.000 0.750 0.365
0.500 0.250 0.135
0.500 0.250 0.865
0.500 0.750 0.840
0.000 0.250 0.340
0.000 0.250 0.660
0.500 0.750 0.160
0.500 0.750 0.500
0.000 0.250 0.000
```



Q: The highest formation energy without anion corrections belongs to which entry?
A: Li2NpN3



Copy entry 1 word for word.
A geometry-optimized Li3NpN3 structure. Source: the Alexandria database, functional PBE.

Computed properties:
The mass density comes out at 6.2 g/cm³. The formation energy without anion corrections comes out at -0.788 eV/atom. The crystal system is trigonal.

```
Li3NpN3
1.0
0.555 3.425 4.862
4.605 -0.812 3.716
4.513 4.275 0.143
Li N Np
6 6 2
direct
0.853 0.617 0.368
0.617 0.162 0.368
0.838 0.147 0.632
0.383 0.838 0.632
0.147 0.383 0.632
0.162 0.853 0.368
0.071 0.691 0.773
0.309 0.535 0.227
0.535 0.929 0.227
0.929 0.309 0.227
0.691 0.465 0.773
0.465 0.071 0.773
0.669 0.669 0.993
0.331 0.331 0.007
```



Q: Look up the formation energy without anion corrections of the second one.
A: -0.964 eV/atom